No. 1
CeNd3C8 | Alexandria | PBE | optimized geometry; DFT formation energy = -1.46 eV/f.u.; E above lowest polymorph = 0.0 meV per atom
1.0
-0.4792 -3.7317 -0.7115
3.7542 -0.5749 0.4868
-1.9559 -2.1426 12.5541
C Ce Nd
8 1 3
direct
0.0000 0.0000 0.8020
0.5000 0.5000 0.5502
0.0000 0.0000 0.1980
0.5000 0.5000 0.9493
0.5000 0.5000 0.0507
0.5000 0.5000 0.4498
0.0000 0.0000 0.7010
0.0000 0.0000 0.2990
0.0000 0.0000 0.0000
0.0000 0.0000 0.5000
0.5000 0.5000 0.7523
0.5000 0.5000 0.2477



No. 2
CrBP2Cl | Alexandria | PBE | optimized geometry; energy relative to the elements, uncorrected = 1102 meV/atom; E above lowest polymorph = 12.3 meV per atom
1.0
3.9763 0.0000 0.0000
0.0000 3.9763 0.0000
0.0000 0.0000 4.5125
P Cr B Cl
2 1 1 1
direct
0.0000 0.5000 0.0000
0.5000 0.0000 0.0000
0.5000 0.5000 0.5000
0.0000 0.0000 0.0000
0.0000 0.0000 0.5000



No. 3
LaMgBeV2 | Alexandria | PBE | optimized geometry; DFT formation energy = 8.58 eV/f.u.
1.0
4.9442 0.0000 0.0000
0.0000 5.5761 0.0000
0.0000 0.0000 4.9442
Be V La Mg
1 2 1 1
direct
0.5000 0.5000 0.5000
0.5000 0.0000 0.0000
0.0000 0.0000 0.5000
0.0000 0.5000 0.0000
0.0000 0.0000 0.0000



No. 4
Hg3PbCl8 | Alexandria | PBE | optimized geometry; energy relative to the elements, uncorrected = -712 meV/atom
1.0
-8.1146 -0.4478 1.4059
2.9072 -6.3460 -4.4001
2.5044 0.8205 7.2992
Cl Hg Pb
8 3 1
direct
0.7493 0.0102 0.2338
0.2507 0.9898 0.7662
0.2732 0.4887 0.7582
0.2194 0.4806 0.2342
0.7300 0.0366 0.7625
0.2700 0.9634 0.2375
0.7268 0.5113 0.2418
0.7806 0.5194 0.7658
0.0000 0.5000 0.0000
0.5000 0.0000 0.0000
0.5000 0.5000 0.0000
0.0000 0.0000 0.0000



No. 5
Pm2Al4HgAu3 | Alexandria | PBE | optimized geometry; DFT formation energy = -6.52 eV/f.u.
1.0
4.4192 0.0000 0.0000
0.0000 4.4192 0.0000
0.0000 0.0000 10.6331
Au Al Pm Hg
3 4 2 1
direct
0.0000 0.5000 0.1261
0.5000 0.0000 0.8739
0.0000 0.0000 0.5000
0.0000 0.5000 0.3593
0.5000 0.5000 0.0000
0.5000 0.0000 0.6407
0.0000 0.0000 0.0000
0.0000 0.5000 0.7526
0.5000 0.0000 0.2474
0.5000 0.5000 0.5000



No. 6
CsRe2PbO8 | Alexandria | PBE | optimized geometry; energy relative to the elements, uncorrected = -1625 meV/atom
1.0
-0.0068 -4.1143 -4.6366
4.5770 4.1564 0.4488
4.5919 -5.5917 4.9552
O Cs Re Pb
8 1 2 1
direct
0.6667 0.3333 0.0397
0.1732 0.3530 0.6934
0.1797 0.8268 0.6934
0.3333 0.6667 0.9603
0.8203 0.1732 0.3066
0.8268 0.6470 0.3066
0.3530 0.1797 0.3066
0.6470 0.8203 0.6934
0.0000 0.0000 0.0000
0.6667 0.3333 0.2400
0.3333 0.6667 0.7600
0.0000 0.0000 0.5000



No. 7
ZrInRe3 | Alexandria | PBE | optimized geometry; DFT formation energy = 11.98 eV/f.u.; E above lowest polymorph = 0.0 meV per atom
1.0
4.7907 0.0000 0.0000
0.0000 4.7907 0.0000
0.0000 0.0000 4.7907
Zr Re In
1 3 1
direct
0.5000 0.5000 0.5000
0.5000 0.0000 0.0000
0.0000 0.0000 0.5000
0.0000 0.5000 0.0000
0.0000 0.0000 0.0000



No. 8
PmSm | Alexandria | PBE | optimized geometry; DFT formation energy = 0.29 eV/f.u.; E above lowest polymorph = 130.6 meV per atom
1.0
-2.1838 3.0769 1.5991
-0.7796 -2.2770 3.3168
3.3789 1.4633 1.7987
Sm Pm
1 1
direct
0.5000 0.5000 0.5000
0.0000 0.0000 0.0000



No. 9
CaTlP | Alexandria | PBE | optimized geometry; DFT formation energy = -0.77 eV/f.u.; E above lowest polymorph = 315.1 meV per atom
1.0
4.9228 0.0000 0.0000
2.4614 4.2633 0.0000
2.4614 1.4211 4.0194
Ca P Tl
1 1 1
direct
0.7500 0.7500 0.7500
0.0000 0.0000 0.0000
0.5000 0.5000 0.5000



No. 10
NbZnSnTe2 | Alexandria | PBE | optimized geometry; energy relative to the elements, uncorrected = 329 meV/atom
1.0
-3.9182 -1.8482 3.2677
3.5040 -1.5000 3.3532
-0.2552 4.8435 2.4334
Zn Te Nb Sn
1 2 1 1
direct
0.0000 0.5000 0.0000
0.0000 0.0000 0.5000
0.5000 0.0000 0.0000
0.0000 0.0000 0.0000
0.5000 0.5000 0.5000



No. 11
Tb2Pu3ScS6 | Alexandria | PBE | optimized geometry; energy relative to the elements, uncorrected = -1879 meV/atom
1.0
-1.2072 3.6260 0.7365
-6.3215 -2.8464 3.6527
6.3967 -1.1461 5.8441
S Sc Tb Pu
6 1 2 3
direct
0.6672 0.5827 0.3344
0.3328 0.4173 0.6656
0.9991 0.2368 0.9982
0.6614 0.0813 0.3228
0.3386 0.9187 0.6772
0.0009 0.7632 0.0018
0.5000 0.0000 0.0000
0.1655 0.3319 0.3310
0.8345 0.6681 0.6690
0.8321 0.1656 0.6642
0.5000 0.5000 0.0000
0.1679 0.8344 0.3358



No. 12
Na2SrGe2 | Alexandria | PBE | optimized geometry; DFT formation energy = -1.46 eV/f.u.; E above lowest polymorph = 0.0 meV per atom
1.0
-2.6241 3.6389 0.8398
-3.5475 -2.7496 0.8294
-1.4030 0.1910 7.1916
Na Ge Sr
2 2 1
direct
0.7500 0.2500 0.5000
0.2500 0.7500 0.5000
0.5911 0.5911 0.8177
0.4089 0.4089 0.1823
0.0000 0.0000 0.0000